Here is an optimized crystal structure of CdInHg2 from Alexandria via LeMat-Bulk. Energies are from GGA-PBEsol.

Energy relative to the elements   0.02 eV per atom
D(E_F)   1.388 states/eV/f.u.

a = 3.729 Å, b = 4.841 Å, c = 5.189 Å
α = 90.00°, β = 90.00°, γ = 90.00°
Fractional coordinates of all 4 atoms:
1 Hg 0.500 0.000 0.500
2 Hg 0.000 0.000 0.000
3 Cd 0.000 0.500 0.500
4 In 0.500 0.500 0.000

Here is an optimized crystal structure of Cs2BaInSn from Alexandria via LeMat-Bulk. Energies are from GGA-PBEsol.

Energy relative to the elements   0.72 eV per atom
D(E_F)   5.631 states/eV/f.u.

a = 6.052 Å, b = 6.719 Å, c = 6.719 Å
α = 90.00°, β = 90.00°, γ = 90.00°
Fractional coordinates of all 5 atoms:
1 Ba 0.000 0.000 0.000
2 In 0.500 0.000 0.000
3 Cs 0.000 0.500 0.000
4 Cs 0.000 0.000 0.500
5 Sn 0.500 0.500 0.500